MgIr3Os: relaxed, GGA-PBE.

Computed properties:
Space group: No. 221
ΔE_f in eV per atom: 1.374

a = 4.7552 Å, b = 4.7552 Å, c = 4.7552 Å
α = 90.00°, β = 90.00°, γ = 90.00°
Last column: nearest neighbours and their distance in Å.
Sites, in units of the cell vectors:
Mg (0.0000, 0.0000, 0.0000)  12 Ir 3.36
Ir (0.0000, 0.5000, 0.5000)  2 Os 2.38
Ir (0.5000, 0.0000, 0.5000)  2 Os 2.38
Ir (0.5000, 0.5000, 0.0000)  2 Os 2.38
Os (0.5000, 0.5000, 0.5000)  6 Ir 2.38